A geometry-optimized La2Mg3CdCu2 structure, computed with PBE-GGA.

- Crystal system: monoclinic
- Magnetic moment: 0.01 μB/cell
- SG: Cm (8)
- Final energy: -3.073 eV/atom

Structure (extended XYZ):
```
8
Lattice="5.082 -2.191 0.000 5.082 2.191 0.000 -0.014 0.000 8.175" Properties=species:S:1:pos:R:3 pbc="T T T"
Cd 1.474 0.000 3.645
La 5.670 0.000 6.135
Mg 1.529 0.000 0.452
Mg 8.598 0.000 4.522
Cu 7.445 0.000 2.003
La 4.500 0.000 2.076
Cu 2.744 0.000 6.144
Mg 8.639 0.000 7.725
```